1.
Entry from the Alexandria database: SrCr2Ag after structural relaxation (PBE).

Properties
* space group: No. 225
* DFT formation energy: 77.7 kJ per mole of atoms
* final energy: -5.14 eV per atom
* size of the total moment: 8.80 Bohr magnetons per cell
* DOS(E_F): 1.15 states/eV/atom

Unit cell a=5.040 b=5.040 c=5.040 alpha=60.00 beta=60.00 gamma=60.00
Positions (direct):
Sr 0.000 0.000 0.000
Cr 0.250 0.250 0.250
Cr 0.750 0.750 0.750
Ag 0.500 0.500 0.500

2.
Entry from the Alexandria database: CuSb3P6O24 after structural relaxation (PBE).

Properties
* space group: No. 146
* final energy: -6.70 eV per atom
* size of the total moment: 1.94 Bohr magnetons per cell

Unit cell a=8.909 b=8.909 c=8.909 alpha=56.00 beta=56.00 gamma=56.00
Positions (direct):
Cu 0.000 0.000 0.000
Sb 0.299 0.299 0.299
Sb 0.506 0.506 0.506
Sb 0.792 0.792 0.792
P 0.110 0.690 0.394
P 0.186 0.620 0.899
P 0.394 0.110 0.690
P 0.620 0.899 0.186
P 0.690 0.394 0.110
P 0.899 0.186 0.620
O 0.030 0.632 0.859
O 0.110 0.165 0.468
O 0.125 0.487 0.436
O 0.142 0.827 0.187
O 0.165 0.468 0.110
O 0.174 0.814 0.862
O 0.187 0.142 0.827
O 0.259 0.659 0.460
O 0.390 0.528 0.762
O 0.436 0.125 0.487
O 0.460 0.259 0.659
O 0.468 0.110 0.165
O 0.487 0.436 0.125
O 0.528 0.762 0.390
O 0.538 0.906 0.768
O 0.632 0.859 0.030
O 0.659 0.460 0.259
O 0.762 0.390 0.528
O 0.768 0.538 0.906
O 0.814 0.862 0.174
O 0.827 0.187 0.142
O 0.859 0.030 0.632
O 0.862 0.174 0.814
O 0.906 0.768 0.538

Which formula does entry 2 have? CuSb3P6O24

Copy entry 2 word for word.
Entry from the Alexandria database: CuSb3P6O24 after structural relaxation (PBE).

Properties
* space group: No. 146
* final energy: -6.70 eV per atom
* size of the total moment: 1.94 Bohr magnetons per cell

Unit cell a=8.909 b=8.909 c=8.909 alpha=56.00 beta=56.00 gamma=56.00
Positions (direct):
Cu 0.000 0.000 0.000
Sb 0.299 0.299 0.299
Sb 0.506 0.506 0.506
Sb 0.792 0.792 0.792
P 0.110 0.690 0.394
P 0.186 0.620 0.899
P 0.394 0.110 0.690
P 0.620 0.899 0.186
P 0.690 0.394 0.110
P 0.899 0.186 0.620
O 0.030 0.632 0.859
O 0.110 0.165 0.468
O 0.125 0.487 0.436
O 0.142 0.827 0.187
O 0.165 0.468 0.110
O 0.174 0.814 0.862
O 0.187 0.142 0.827
O 0.259 0.659 0.460
O 0.390 0.528 0.762
O 0.436 0.125 0.487
O 0.460 0.259 0.659
O 0.468 0.110 0.165
O 0.487 0.436 0.125
O 0.528 0.762 0.390
O 0.538 0.906 0.768
O 0.632 0.859 0.030
O 0.659 0.460 0.259
O 0.762 0.390 0.528
O 0.768 0.538 0.906
O 0.814 0.862 0.174
O 0.827 0.187 0.142
O 0.859 0.030 0.632
O 0.862 0.174 0.814
O 0.906 0.768 0.538